Record 1
TiCdO3 | PBE | optimized geometry

Summary:
The space group is P-1 (2). The formation energy from raw total energies comes out at -2213 meV per atom. Its spin magnetization is 0.00 μB per formula unit.

abc: 5.402 6.172 5.514
angles: 92.63 101.08 73.80
Fractional positions:
O  0.857  0.876  0.418
O  0.284  0.632  0.813
O  0.143  0.124  0.582
O  0.772  0.959  0.927
O  0.716  0.368  0.187
O  0.228  0.041  0.073
Cd  0.600  0.730  0.126
Cd  0.400  0.270  0.874
Ti  0.041  0.897  0.743
Ti  0.959  0.103  0.257



Record 2
TiCd2O | PBE | optimized geometry

Summary:
The space group is I-42d (122). The formation energy from raw total energies comes out at -551 meV per atom. Its spin magnetization is 0.00 μB per formula unit.

abc: 9.530 9.530 6.995
angles: 47.06 47.06 90.00
Fractional positions:
Cd  0.241  0.625  0.250
Cd  0.875  0.759  0.750
Cd  0.375  0.491  0.750
Cd  0.509  0.125  0.250
O  0.500  0.500  0.000
O  0.250  0.750  0.500
Ti  0.000  0.000  0.000
Ti  0.750  0.250  0.500



Record 3
TiCdO2 | PBE | optimized geometry

Summary:
The space group is R-3m (166). The formation energy from raw total energies comes out at -2174 meV per atom. Its spin magnetization is 0.14 μB per formula unit.

abc: 7.859 7.859 7.859
angles: 21.96 21.96 21.96
Site moments in Bohr magnetons follow the coordinates.
Fractional positions:
O  0.877  0.877  0.877  -0.01
O  0.123  0.123  0.123  -0.01
Cd  0.000  0.000  0.000  0.00
Ti  0.500  0.500  0.500  0.14



Record 4
TiCd2O4 | PBE | optimized geometry

Summary:
The space group is C2/m (12). The formation energy from raw total energies comes out at -1804 meV per atom. Its spin magnetization is 0.00 μB per formula unit.

abc: 3.154 5.788 6.039
angles: 122.69 105.14 90.00
Fractional positions:
O  0.380  0.750  0.760
O  0.620  0.250  0.240
O  0.107  0.842  0.214
O  0.893  0.158  0.786
Cd  0.318  0.313  0.637
Cd  0.682  0.687  0.363
Ti  0.000  0.000  0.000



Record 5
TiCdO2 | PBE | optimized geometry

Summary:
The space group is R-3m (166). The formation energy from raw total energies comes out at -1370 meV per atom. Its spin magnetization is 0.00 μB per formula unit.

abc: 6.525 6.525 6.525
angles: 29.36 29.36 29.36
Fractional positions:
Ti  0.000  0.000  0.000
O  0.902  0.902  0.902
O  0.098  0.098  0.098
Cd  0.500  0.500  0.500



Record 6
TiCdO3 | PBE | optimized geometry

Summary:
The space group is Pna2_1 (33). The formation energy from raw total energies comes out at -2222 meV per atom. Its spin magnetization is 0.00 μB per formula unit.

abc: 5.358 5.493 7.815
angles: 90.00 90.00 90.00
Fractional positions:
O  0.207  0.778  0.444
O  0.802  0.190  0.541
O  0.198  0.810  0.041
O  0.593  0.970  0.241
O  0.093  0.530  0.741
O  0.793  0.222  0.944
O  0.707  0.722  0.944
O  0.907  0.470  0.241
O  0.302  0.310  0.041
O  0.293  0.278  0.444
O  0.698  0.690  0.541
O  0.407  0.030  0.741
Cd  0.511  0.463  0.758
Cd  0.989  0.963  0.758
Cd  0.011  0.037  0.258
Cd  0.489  0.537  0.258
Ti  0.001  0.510  0.510
Ti  0.999  0.490  0.010
Ti  0.499  0.010  0.510
Ti  0.501  0.990  0.010



Record 7
TiTlCdO4 | PBE | optimized geometry

Summary:
The space group is Imma (74). The formation energy from raw total energies comes out at -1672 meV per atom. Its spin magnetization is 0.00 μB per formula unit.

abc: 6.766 6.590 6.590
angles: 59.04 59.12 59.12
Fractional positions:
Ti  0.622  0.628  0.128
Ti  0.378  0.372  0.872
O  0.726  0.746  0.246
O  0.283  0.746  0.246
O  0.274  0.254  0.754
O  0.736  0.751  0.776
O  0.264  0.249  0.224
O  0.717  0.254  0.754
O  0.736  0.276  0.251
O  0.264  0.724  0.749
Tl  0.000  0.500  0.500
Tl  0.000  0.000  0.000
Cd  0.000  0.000  0.500
Cd  0.500  0.000  0.500



Record 8
TiTl2CdO6 | PBE | optimized geometry

Summary:
The space group is R3 (146). The formation energy from raw total energies comes out at -1408 meV per atom. Its spin magnetization is 0.00 μB per formula unit.

abc: 5.638 5.638 5.900
angles: 61.46 61.46 60.00
Fractional positions:
O  0.216  0.968  0.245
O  0.677  0.130  0.775
O  0.418  0.677  0.775
O  0.571  0.216  0.245
O  0.130  0.418  0.775
O  0.968  0.571  0.245
Ti  0.311  0.310  0.069
Cd  0.807  0.807  0.580
Tl  0.530  0.530  0.410
Tl  0.034  0.034  0.897



Record 9
TiTlCd2O4 | PBE | optimized geometry

Summary:
The space group is Fmm2 (42). The formation energy from raw total energies comes out at -1534 meV per atom. Its spin magnetization is 0.00 μB per formula unit.

abc: 5.597 5.597 5.974
angles: 117.88 117.88 90.09
Fractional positions:
Cd  0.250  0.750  0.500
Cd  0.750  0.250  0.500
O  0.811  0.437  0.248
O  0.188  0.188  0.751
O  0.437  0.811  0.248
O  0.563  0.563  0.751
Ti  0.500  0.500  0.000
Tl  0.001  0.001  0.001



Record 10
TiTl2CdO4 | PBE | optimized geometry

Summary:
The space group is Pmn2_1 (31). The formation energy from raw total energies comes out at -1663 meV per atom. Its spin magnetization is 0.00 μB per formula unit.

abc: 5.578 8.583 7.032
angles: 90.00 90.00 90.00
Fractional positions:
Ti  0.003  0.108  0.000
Ti  0.503  0.892  0.500
Tl  0.984  0.685  0.250
Tl  0.484  0.315  0.250
Tl  0.984  0.685  0.750
Tl  0.484  0.315  0.750
O  0.904  0.901  0.000
O  0.334  0.122  0.000
O  0.834  0.878  0.500
O  0.396  0.796  0.283
O  0.896  0.204  0.217
O  0.396  0.796  0.717
O  0.404  0.099  0.500
O  0.896  0.204  0.783
Cd  0.500  0.885  0.000
Cd  0.000  0.115  0.500